# 1
## Hf3SnAs (PBE-GGA)

Data for a geometry-optimized Hf3SnAs structure.

```
10
Lattice="7.558 -2.286 0.000 7.558 2.286 0.000 -0.678 0.000 6.965" Properties=species:S:1:pos:R:3 pbc="T T T"
Hf 0.184 0.000 1.602
Hf 2.099 0.000 6.569
Hf 3.773 0.000 2.456
Hf 10.665 0.000 4.508
Hf 12.340 0.000 0.396
Hf 14.254 0.000 5.363
Sn 4.981 0.000 5.735
Sn 9.457 0.000 1.230
As 1.472 0.000 3.991
As 12.966 0.000 2.974
```

## Properties
E_form: -1.22 eV per formula unit
VASP energy: -7.95 eV/atom
total magnetization: 0.000 μB/atom
relative energy among the computed polymorphs: 0 meV per atom
volume: 240.7 Å³/cell

# 2
## Hf2SnAs (PBE-GGA)

Data for a geometry-optimized Hf2SnAs structure.

```
12
Lattice="3.630 0.000 0.000 -1.815 3.144 0.000 0.000 0.000 22.820" Properties=species:S:1:pos:R:3 pbc="T T T"
Hf 0.000 0.000 0.000
Hf 0.000 0.000 4.401
Hf 0.000 2.096 15.213
Hf 0.000 2.096 19.614
Hf 1.815 1.048 7.607
Hf 1.815 1.048 12.008
Sn 0.000 0.000 9.782
Sn 0.000 2.096 2.175
Sn 1.815 1.048 17.389
As 0.000 0.000 13.620
As 0.000 2.096 6.013
As 1.815 1.048 21.227
```

## Properties
E_form: -2.33 eV per formula unit
VASP energy: -7.72 eV/atom
total magnetization: 0.000 μB/atom
relative energy among the computed polymorphs: 0 meV per atom
volume: 260.4 Å³/cell

# 3
## Hf4Sn2As (PBE-GGA)

Data for a geometry-optimized Hf4Sn2As structure.

```
14
Lattice="4.801 0.000 0.000 0.000 4.801 0.000 0.000 0.000 15.145" Properties=species:S:1:pos:R:3 pbc="T T T"
Hf 0.000 0.000 2.555
Hf 0.000 0.000 12.590
Hf 0.000 2.400 0.000
Hf 0.000 2.400 7.572
Hf 2.400 0.000 0.000
Hf 2.400 0.000 7.572
Hf 2.400 2.400 5.018
Hf 2.400 2.400 10.127
Sn 0.000 0.000 5.466
Sn 0.000 0.000 9.679
Sn 2.400 2.400 2.106
Sn 2.400 2.400 13.038
As 0.000 0.000 0.000
As 2.400 2.400 7.572
```

## Properties
E_form: 0.46 eV per formula unit
VASP energy: -7.43 eV/atom
total magnetization: 0.000 μB/atom
relative energy among the computed polymorphs: 298 meV per atom
volume: 349.0 Å³/cell